Entry 1:
DFT (PBE-GGA) results for a relaxed structure of MgCoHg2.

```
MgCoHg2
1.0
-2.014 2.014 4.461
2.014 -2.014 4.461
2.014 2.014 -4.461
Mg Co Hg
1 1 2
direct
0.000 0.000 0.000
0.250 0.750 0.500
0.500 0.500 0.000
0.750 0.250 0.500
```

Values from the calculation:
density of states at the Fermi level = 2.75 states/eV/cell
crystal system = tetragonal
total magnetization = 0.9 μB per formula unit
formation enthalpy at 0 K = 0.203 eV/atom
V = 18.09 A^3/atom

---

Entry 2:
DFT (PBE-GGA) results for a relaxed structure of Ho2PaRh2.

```
Ho2PaRh2
1.0
5.577 -3.025 0.000
5.577 3.025 0.000
-1.296 0.000 7.059
Ho Pa Rh
4 2 4
direct
0.047 0.263 0.149
0.263 0.047 0.649
0.737 0.953 0.351
0.953 0.737 0.851
0.411 0.589 0.250
0.589 0.411 0.750
0.234 0.459 0.477
0.459 0.234 0.977
0.541 0.766 0.023
0.766 0.541 0.523
```

Values from the calculation:
density of states at the Fermi level = 10.77 states/eV/cell
crystal system = monoclinic
total magnetization = 0.0 μB per formula unit
formation enthalpy at 0 K = -0.727 eV/atom
V = 23.82 A^3/atom

---

Entry 3:
DFT (PBE-GGA) results for a relaxed structure of LiYBr4.

```
LiYBr4
1.0
7.019 0.000 0.000
0.000 4.114 0.000
-2.351 0.000 6.935
Li Y Br
1 1 4
direct
0.000 0.000 0.000
0.500 0.500 0.000
0.235 0.500 0.210
0.263 0.000 0.766
0.737 0.000 0.234
0.765 0.500 0.790
```

Values from the calculation:
density of states at the Fermi level = 0.00 states/eV/cell
crystal system = monoclinic
total magnetization = 0.0 μB per formula unit
E above lowest polymorph = 0.000 eV/atom
E_form (uncorrected) = -1749 meV per atom
V = 33.38 A^3/atom

---

Entry 4:
DFT (PBE-GGA) results for a relaxed structure of ScVCoMo.

```
ScVCoMo
1.0
0.000 3.082 3.082
3.082 0.000 3.082
3.082 3.082 0.000
Sc V Co Mo
1 1 1 1
direct
0.000 0.000 0.000
0.500 0.500 0.500
0.750 0.750 0.750
0.250 0.250 0.250
```

Values from the calculation:
density of states at the Fermi level = 4.70 states/eV/cell
crystal system = cubic
total magnetization = 0.0 μB per formula unit
formation enthalpy at 0 K = 0.003 eV/atom
V = 14.64 A^3/atom

---

Entry 5:
DFT (PBE-GGA) results for a relaxed structure of YHo12Th3.

```
YHo12Th3
1.0
5.010 0.000 0.000
0.000 5.010 0.000
0.000 0.000 19.944
Y Ho Th
1 12 3
direct
0.000 0.000 0.000
0.000 0.500 0.127
0.000 0.500 0.375
0.000 0.500 0.625
0.000 0.500 0.873
0.500 0.000 0.127
0.500 0.000 0.375
0.500 0.000 0.625
0.500 0.000 0.873
0.500 0.500 0.000
0.500 0.500 0.250
0.500 0.500 0.500
0.500 0.500 0.750
0.000 0.000 0.251
0.000 0.000 0.500
0.000 0.000 0.749
```

Values from the calculation:
density of states at the Fermi level = 24.18 states/eV/cell
crystal system = tetragonal
total magnetization = 0.0 μB per formula unit
formation enthalpy at 0 K = 0.034 eV/atom
V = 31.29 A^3/atom

---

Entry 6:
DFT (PBE-GGA) results for a relaxed structure of HgSbTe2.

```
HgSbTe2
1.0
3.293 -4.192 0.000
3.293 4.192 0.000
0.000 0.000 4.145
Hg Sb Te
1 1 2
direct
0.000 0.000 0.000
0.500 0.500 0.000
0.000 0.500 0.500
0.500 0.000 0.500
```

Values from the calculation:
density of states at the Fermi level = 2.82 states/eV/cell
crystal system = orthorhombic
total magnetization = 0.0 μB per formula unit
E above lowest polymorph = 0.292 eV/atom
E_form (uncorrected) = 212 meV per atom
V = 28.61 A^3/atom

---

Entry 7:
DFT (PBE-GGA) results for a relaxed structure of Mg3GaPd6.

```
Mg3GaPd6
1.0
7.590 0.000 0.000
0.000 4.545 0.000
-3.272 0.000 9.079
Mg Ga Pd
6 2 12
direct
0.034 0.250 0.386
0.136 0.750 0.210
0.279 0.250 0.989
0.721 0.750 0.011
0.864 0.250 0.790
0.966 0.750 0.614
0.450 0.250 0.594
0.550 0.750 0.406
0.040 0.750 0.916
0.163 0.250 0.682
0.259 0.750 0.505
0.349 0.750 0.820
0.353 0.250 0.308
0.434 0.750 0.129
0.566 0.250 0.871
0.647 0.750 0.692
0.651 0.250 0.180
0.741 0.250 0.495
0.837 0.750 0.318
0.960 0.250 0.084
```

Values from the calculation:
density of states at the Fermi level = 4.61 states/eV/cell
crystal system = monoclinic
total magnetization = 0.0 μB per formula unit
formation enthalpy at 0 K = -0.654 eV/atom
E above lowest polymorph = 0.000 eV/atom
V = 15.66 A^3/atom

---

Entry 8:
DFT (PBE-GGA) results for a relaxed structure of Cu2AsSe.

```
Cu2AsSe
1.0
-1.672 1.707 5.939
1.672 -1.707 5.939
1.672 1.707 -5.939
Cu As Se
2 1 1
direct
0.000 0.000 0.000
0.750 0.250 0.500
0.591 0.591 0.000
0.338 0.838 0.500
```

Values from the calculation:
density of states at the Fermi level = 1.72 states/eV/cell
crystal system = orthorhombic
total magnetization = 0.0 μB per formula unit
E_form (uncorrected) = 159 meV per atom
V = 16.96 A^3/atom

---

Entry 9:
DFT (PBE-GGA) results for a relaxed structure of Ta3MoIr.

```
Ta3MoIr
1.0
4.725 0.000 0.000
0.000 4.725 0.000
0.000 0.000 4.725
Ta Mo Ir
3 1 1
direct
0.000 0.000 0.500
0.000 0.500 0.000
0.500 0.000 0.000
0.000 0.000 0.000
0.500 0.500 0.500
```

Values from the calculation:
density of states at the Fermi level = 6.10 states/eV/cell
crystal system = cubic
total magnetization = 0.0 μB per formula unit
formation enthalpy at 0 K = 1.589 eV/atom
E above lowest polymorph = 0.222 eV/atom
V = 21.09 A^3/atom

---

Entry 10:
DFT (PBE-GGA) results for a relaxed structure of Pm4SnSe3.

```
Pm4SnSe3
1.0
-3.029 3.029 6.066
3.029 -3.029 6.066
3.029 3.029 -6.066
Pm Sn Se
4 1 3
direct
0.000 0.500 0.500
0.247 0.247 0.000
0.500 0.000 0.500
0.753 0.753 0.000
0.500 0.500 0.000
0.000 0.000 0.000
0.250 0.750 0.500
0.750 0.250 0.500
```

Values from the calculation:
density of states at the Fermi level = 3.34 states/eV/cell
crystal system = tetragonal
total magnetization = 0.0 μB per formula unit
E above lowest polymorph = 0.000 eV/atom
E_form (uncorrected) = -1590 meV per atom
V = 27.82 A^3/atom

---

Entry 11:
DFT (PBE-GGA) results for a relaxed structure of Pr2MnGaPd6.

```
Pr2MnGaPd6
1.0
2.866 1.654 7.658
-2.866 1.654 7.658
0.000 -3.309 7.658
Pr Mn Ga Pd
2 1 1 6
direct
0.209 0.209 0.209
0.791 0.791 0.791
0.500 0.500 0.500
0.000 0.000 0.000
0.249 0.249 0.750
0.249 0.750 0.249
0.250 0.751 0.751
0.750 0.249 0.249
0.751 0.250 0.751
0.751 0.751 0.250
```

Values from the calculation:
density of states at the Fermi level = 3.66 states/eV/cell
crystal system = trigonal
total magnetization = 4.1 μB per formula unit
formation enthalpy at 0 K = -0.471 eV/atom
V = 21.78 A^3/atom

---

Entry 12:
DFT (PBE-GGA) results for a relaxed structure of Nd2DyTmSe4.

```
Nd2DyTmSe4
1.0
7.079 0.000 0.000
0.000 4.061 0.000
-2.337 0.000 6.979
Nd Dy Tm Se
2 1 1 4
direct
0.000 0.000 0.000
0.500 0.500 0.000
0.000 0.500 0.500
0.500 0.000 0.500
0.247 0.000 0.733
0.259 0.500 0.269
0.741 0.500 0.731
0.753 0.000 0.267
```

Values from the calculation:
density of states at the Fermi level = 3.75 states/eV/cell
crystal system = monoclinic
total magnetization = 0.0 μB per formula unit
E_form (uncorrected) = -1778 meV per atom
V = 25.08 A^3/atom

---

Which value of total magnetization does entry 7 give?
0.0 μB per formula unit

---

Which value of V does entry 2 give?
23.82 A^3/atom